Record 1
## Ni2HgP (PBE)

Data for a relaxed Ni2HgP crystal.

Unit cell a=3.0817 b=3.0817 c=6.2444 alpha=90.00 beta=90.00 gamma=90.00
Last column: nearest neighbours and their distance in Å.
Space group P4mm (No. 99)
Asymmetric unit:
Ni 0.0000 0.0000 0.0000 x1  1 P 2.20
Ni 0.5000 0.5000 0.2309 x1  4 P 2.31
Hg 0.5000 0.5000 0.7336 x1  4 Ni 2.74
P 0.0000 0.0000 0.3519 x1  5 Ni 2.20-2.31

Summary:
Electronic total energy (eV/f.u.): -17.3
ρ (g cm⁻³): 9.77

Record 2
## Ni2HgP (PBE)

Data for a relaxed Ni2HgP crystal.

Unit cell a=4.3075 b=4.3075 c=3.0263 alpha=90.00 beta=90.00 gamma=90.00
Last column: nearest neighbours and their distance in Å.
Space group P4/mmm (No. 123)
Asymmetric unit:
Ni 0.0000 0.5000 0.0000 x2  4 P 2.63, 4 Hg 2.63
Hg 0.0000 0.0000 0.5000 x1  8 Ni 2.63
P 0.5000 0.5000 0.5000 x1  8 Ni 2.63

Summary:
Electronic total energy (eV/f.u.): -16.3
ρ (g cm⁻³): 10.32

Record 3
## Ni2HgP (PBE)

Data for a relaxed Ni2HgP crystal.

Unit cell a=6.6245 b=6.6245 c=5.5975 alpha=90.00 beta=90.00 gamma=90.00
Last column: nearest neighbours and their distance in Å.
Space group I-42d (No. 122)
Asymmetric unit:
Ni 0.1795 0.7500 0.1250 x8  2 P 2.16
Hg 0.0000 0.0000 0.5000 x4  8 Ni 2.78-2.93, 2 P 2.80
P 0.0000 0.0000 0.0000 x4  4 Ni 2.16

Summary:
Electronic total energy (eV/f.u.): -16.9
ρ (g cm⁻³): 9.44

Record 4
## Ni2HgP (PBE)

Data for a relaxed Ni2HgP crystal.

Unit cell a=2.9259 b=4.1404 c=5.2426 alpha=90.00 beta=105.67 gamma=90.00
Last column: nearest neighbours and their distance in Å.
Space group Pm (No. 6)
Asymmetric unit:
Ni 0.0000 0.0000 0.0000 x1  2 P 2.17
Ni 0.4047 0.5000 0.8079 x1  2 P 2.19
Hg 0.7291 0.0000 0.4890 x1  3 Ni 2.58-2.88
P 0.0615 0.5000 0.1316 x1  4 Ni 2.17-2.19

Summary:
Electronic total energy (eV/f.u.): -17.1
ρ (g cm⁻³): 9.48

Record 5
## Ni2HgP (PBE)

Data for a relaxed Ni2HgP crystal.

Unit cell a=3.6676 b=3.6676 c=8.4139 alpha=90.00 beta=90.00 gamma=90.00
Last column: nearest neighbours and their distance in Å.
Space group I-4m2 (No. 119)
Asymmetric unit:
Ni 0.0000 0.0000 0.0000 x2  4 Hg 2.59, 4 Ni 2.79, 4 P 2.79
Ni 0.0000 0.5000 0.2500 x2  4 P 2.59, 4 Hg 2.79, 4 Ni 2.79
Hg 0.0000 0.0000 0.5000 x2  8 Ni 2.59-2.79, 4 P 2.79
P 0.0000 0.5000 0.7500 x2  8 Ni 2.59-2.79, 4 Hg 2.79

Summary:
Electronic total energy (eV/f.u.): -16.1
ρ (g cm⁻³): 10.24

Record 6
## Ni3HgP (PBE)

Data for a relaxed Ni3HgP crystal.

Unit cell a=4.2027 b=4.2027 c=4.2027 alpha=90.00 beta=90.00 gamma=90.00
Last column: nearest neighbours and their distance in Å.
Space group Pm-3m (No. 221)
Asymmetric unit:
Ni 0.0000 0.0000 0.5000 x3  2 P 2.10
Hg 0.5000 0.5000 0.5000 x1  12 Ni 2.97
P 0.0000 0.0000 0.0000 x1  6 Ni 2.10

Summary:
Electronic total energy (eV/f.u.): -23.1
ρ (g cm⁻³): 9.12
Relative energy among the computed polymorphs (meV per atom): 0

| no. | energy of formation from the pure elements (eV/atom) |
| --- | --- |
| 1 | -0.006 |
| 2 | 0.238 |
| 3 | 0.085 |
| 4 | 0.038 |
| 5 | 0.295 |
| 6 | 0.000 |